No. 1
A plane-wave DFT calculation with PBE-GGA was carried out for TiZn3As after structural relaxation.

Final energy: -2.290 eV/atom
V: 121 Å³ per cell
Formation energy from the elements: 474 kJ/mol of formula units
DOS(E_F): 3.31 states/eV per cell
Polymorph energy (0 for the lowest one): 20.35 kJ per mole of atoms

Lattice parameters (Å, degrees): 4.9422 4.9422 4.9422 90.00 90.00 90.00
Space group Pm-3m (No. 221)
Inequivalent atoms, fractional coordinates:
1 Ti 0.0000 0.0000 0.0000 x1
2 Zn 0.0000 0.0000 0.5000 x3
3 As 0.5000 0.5000 0.5000 x1



No. 2
A plane-wave DFT calculation with PBE-GGA was carried out for KLaSe after structural relaxation.

Final energy: -4.175 eV/atom
Raw formation energy: -3.01 eV/f.u.
V: 229 Å³ per cell
DOS(E_F): 2.73 states/eV per cell
Polymorph energy (0 for the lowest one): 0.00 kJ per mole of atoms

Lattice parameters (Å, degrees): 3.8954 3.8954 15.0799 90.00 90.00 90.00
Space group I4mm (No. 107)
Inequivalent atoms, fractional coordinates:
1 K 0.0000 0.0000 0.0000 x2
2 La 0.0000 0.0000 0.7449 x2
3 Se 0.0000 0.0000 0.3280 x2



No. 3
A plane-wave DFT calculation with PBE-GGA was carried out for Pm4YRh2 after structural relaxation.

Final energy: -6.126 eV/atom
V: 385 Å³ per cell
Formation energy from the elements: -262 kJ/mol of formula units
DOS(E_F): 16.06 states/eV per cell

Lattice parameters (Å, degrees): 8.0044 6.4971 8.0666 90.00 113.55 90.00
Space group P2_1/m (No. 11)
Inequivalent atoms, fractional coordinates:
1 Pm 0.0165 0.2500 0.3799 x2
2 Pm 0.2503 0.7500 0.3390 x2
3 Pm 0.4129 0.0042 0.7686 x4
4 Y 0.1547 0.2500 0.0292 x2
5 Rh 0.2334 0.7500 0.9911 x2
6 Rh 0.3703 0.2500 0.4094 x2